# 1
Material: TbPS4
Method: DFT, SCAN
State: PBEsol geometry

a = 12.0301 Å, b = 12.0301 Å, c = 12.0301 Å
α = 127.74°, β = 127.74°, γ = 77.05°
Last column: nearest neighbours and their distance in Å.
Element x y z (fractional)
Tb  0.1250  0.3750  0.7500  8 S 2.85-2.88
Tb  0.1250  0.8750  0.2500  8 S 2.79-2.96
Tb  0.3750  0.1250  0.2500  8 S 2.85-2.88
Tb  0.3750  0.6250  0.7500  8 S 2.79-2.96
Tb  0.6250  0.3750  0.2500  8 S 2.79-2.96
Tb  0.6250  0.8750  0.7500  8 S 2.85-2.88
Tb  0.8750  0.1250  0.7500  8 S 2.79-2.96
Tb  0.8750  0.6250  0.2500  8 S 2.85-2.88
P  0.2114  0.2500  0.4614  4 S 2.04
P  0.2500  0.2886  0.0386  4 S 2.04
P  0.2500  0.7886  0.5386  4 S 2.04
P  0.2886  0.7500  0.0386  4 S 2.04
P  0.7114  0.2500  0.9614  4 S 2.04
P  0.7500  0.2114  0.4614  4 S 2.04
P  0.7500  0.7114  0.9614  4 S 2.04
P  0.7886  0.7500  0.5386  4 S 2.04
S  0.0832  0.8870  0.4754  1 P 2.04
S  0.0884  0.3922  0.9754  1 P 2.04
S  0.0923  0.6629  0.9355  1 P 2.04
S  0.1078  0.4116  0.5246  1 P 2.04
S  0.1130  0.0884  0.1962  1 P 2.04
S  0.1568  0.0923  0.9294  1 P 2.04
S  0.1629  0.5923  0.4355  1 P 2.04
S  0.2274  0.1568  0.5645  1 P 2.04
S  0.2726  0.8371  0.9294  1 P 2.04
S  0.3371  0.7726  0.4294  1 P 2.04
S  0.3432  0.2726  0.9355  1 P 2.04
S  0.3870  0.5832  0.9754  1 P 2.04
S  0.3922  0.9168  0.3038  1 P 2.04
S  0.4077  0.3432  0.5706  1 P 2.04
S  0.4116  0.3870  0.3038  1 P 2.04
S  0.4168  0.8922  0.8038  1 P 2.04
S  0.5832  0.1078  0.1962  1 P 2.04
S  0.5884  0.6130  0.6962  1 P 2.04
S  0.5923  0.6568  0.4294  1 P 2.04
S  0.6078  0.0832  0.6962  1 P 2.04
S  0.6130  0.4168  0.0246  1 P 2.04
S  0.6568  0.7274  0.0645  1 P 2.04
S  0.6629  0.2274  0.5706  1 P 2.04
S  0.7274  0.1629  0.0706  1 P 2.04
S  0.7726  0.8432  0.4355  1 P 2.04
S  0.8371  0.4077  0.5645  1 P 2.04
S  0.8432  0.9077  0.0706  1 P 2.04
S  0.8870  0.9116  0.8038  1 P 2.04
S  0.8922  0.5884  0.4754  1 P 2.04
S  0.9077  0.3371  0.0645  1 P 2.04
S  0.9116  0.6078  0.0246  1 P 2.04
S  0.9168  0.1130  0.5246  1 P 2.04

Output
ΔE_f (raw), eV/atom: -1.22
Total magnetic moment, μB per formula unit: 0.0
Crystal system: tetragonal



# 2
Material: Li2BeCr
Method: DFT, SCAN
State: PBEsol geometry

a = 2.1947 Å, b = 4.5252 Å, c = 4.5431 Å
α = 90.00°, β = 92.30°, γ = 90.00°
Last column: nearest neighbours and their distance in Å.
Element x y z (fractional)
Li  0.1960  0.0000  0.2474  3 Li 2.19-2.37
Li  0.8040  0.0000  0.7526  3 Li 2.19-2.37
Be  0.0000  0.5000  0.5000  2 Be 2.19
Cr  0.5000  0.5000  0.0000  2 Cr 2.19

Output
Total magnetic moment, μB per formula unit: 1.9
Crystal system: monoclinic
Formation energy, meV/atom: 395



Listing raw total energy for the structures above in their given order: -17.163, -6.484 eV/atom.